# 1
Compound: CaLaNd6Tm2
Source: Alexandria
Functional: PBE
Structure: optimized geometry

a = 9.059 Å, b = 9.059 Å, c = 9.848 Å
α = 93.50°, β = 93.50°, γ = 117.99°
Positions (direct):
Ca  0.029  0.971  0.750
Ca  0.971  0.029  0.250
La  0.406  0.594  0.250
La  0.594  0.406  0.750
Nd  0.023  0.555  0.677
Nd  0.117  0.753  0.054
Nd  0.247  0.883  0.446
Nd  0.294  0.507  0.879
Nd  0.445  0.977  0.823
Nd  0.493  0.706  0.621
Nd  0.507  0.294  0.379
Nd  0.555  0.023  0.177
Nd  0.706  0.493  0.121
Nd  0.753  0.117  0.554
Nd  0.883  0.247  0.946
Nd  0.977  0.445  0.323
Tm  0.196  0.301  0.545
Tm  0.301  0.196  0.045
Tm  0.699  0.804  0.955
Tm  0.804  0.699  0.455

Results
DFT total energy   -4.327 eV/atom
ΔH_f (0 K)   121 meV per atom

=====

# 2
Compound: PaZnGaNi
Source: Alexandria
Functional: PBE
Structure: optimized geometry

a = 4.028 Å, b = 4.028 Å, c = 6.105 Å
α = 109.27°, β = 109.27°, γ = 60.37°
Positions (direct):
Pa  0.000  0.000  0.000
Zn  0.451  0.451  0.351
Ga  0.199  0.199  0.600
Ni  0.592  0.592  0.774

Results
DFT total energy   -4.945 eV/atom
ΔH_f (0 K)   -51 meV per atom

=====

# 3
Compound: HoFeB2Os
Source: Alexandria
Functional: PBE
Structure: optimized geometry

a = 5.456 Å, b = 5.456 Å, c = 5.456 Å
α = 139.81°, β = 139.81°, γ = 58.15°
Positions (direct):
Ho  0.000  0.000  0.000
Fe  0.750  0.250  0.500
B  0.347  0.347  0.000
B  0.653  0.653  0.000
Os  0.250  0.750  0.500

Results
DFT total energy   -7.946 eV/atom
ΔH_f (0 K)   -421 meV per atom

=====

| no. | N(E_F) (states/eV/atom) |
| --- | --- |
| 1 | 1.406 |
| 2 | 1.300 |
| 3 | 0.509 |